(1)
LaMoW2: relaxed, GGA-PBE.

Cell and atoms, written as POSCAR:
```
LaMoW2
1.0
3.058 0.000 0.000
-1.529 2.649 0.000
0.000 0.000 28.801
La Mo W
3 3 6
direct
0.000 0.000 0.000
0.333 0.667 0.667
0.667 0.333 0.333
0.000 0.000 0.500
0.333 0.667 0.167
0.667 0.333 0.833
0.000 0.000 0.237
0.000 0.000 0.763
0.333 0.667 0.430
0.333 0.667 0.904
0.667 0.333 0.096
0.667 0.333 0.570
```

Space group: No. 166
Calculated formation energy in eV/atom: 0.72
Energy above the lowest structure with this stoichiometry in kcal/mol of atoms: 6.43
Theoretical density in Mg/m³: 12.87


(2)
LaMo2W: relaxed, GGA-PBE.

Cell and atoms, written as POSCAR:
```
LaMo2W
1.0
3.256 0.000 0.000
0.000 4.545 0.000
0.000 0.000 5.064
La Mo W
1 2 1
direct
0.000 0.000 0.000
0.000 0.500 0.500
0.500 0.500 0.000
0.500 0.000 0.500
```

Space group: No. 47
Calculated formation energy in eV/atom: 0.75
Energy above the lowest structure with this stoichiometry in kcal/mol of atoms: 8.03
Theoretical density in Mg/m³: 11.40


(3)
LaMo2W: relaxed, GGA-PBE.

Cell and atoms, written as POSCAR:
```
LaMo2W
1.0
2.963 0.000 0.000
0.000 4.316 0.000
-1.231 0.000 6.416
La Mo W
1 2 1
direct
0.000 0.000 0.000
0.515 0.000 0.500
0.768 0.500 0.321
0.256 0.500 0.678
```

Space group: No. 6
Calculated formation energy in eV/atom: 0.54
Energy above the lowest structure with this stoichiometry in kcal/mol of atoms: 3.21
Theoretical density in Mg/m³: 10.41


(4)
LaMo2W: relaxed, GGA-PBE.

Cell and atoms, written as POSCAR:
```
LaMo2W
1.0
3.099 0.000 0.000
-1.550 2.684 0.000
0.000 0.000 28.202
La Mo W
3 6 3
direct
0.000 0.000 0.000
0.333 0.667 0.667
0.667 0.333 0.333
0.000 0.000 0.237
0.000 0.000 0.763
0.333 0.667 0.430
0.333 0.667 0.904
0.667 0.333 0.096
0.667 0.333 0.570
0.000 0.000 0.500
0.333 0.667 0.167
0.667 0.333 0.833
```

Space group: No. 166
Calculated formation energy in eV/atom: 0.64
Energy above the lowest structure with this stoichiometry in kcal/mol of atoms: 5.59
Theoretical density in Mg/m³: 10.93


(5)
LaMoW2: relaxed, GGA-PBE.

Cell and atoms, written as POSCAR:
```
LaMoW2
1.0
2.891 0.000 0.000
0.000 4.360 0.000
-0.939 0.000 6.471
La Mo W
1 1 2
direct
0.000 0.000 0.000
0.791 0.500 0.316
0.241 0.500 0.680
0.520 0.000 0.499
```

Space group: No. 6
Calculated formation energy in eV/atom: 0.57
Energy above the lowest structure with this stoichiometry in kcal/mol of atoms: 2.95
Theoretical density in Mg/m³: 12.27


(6)
LaMoW2: relaxed, GGA-PBE.

Cell and atoms, written as POSCAR:
```
LaMoW2
1.0
3.195 0.000 0.000
0.000 5.157 0.000
0.000 0.000 9.305
La Mo W
2 2 4
direct
0.000 0.000 0.000
0.500 0.500 0.500
0.000 0.500 0.761
0.500 0.000 0.261
0.000 0.000 0.497
0.000 0.500 0.232
0.500 0.000 0.732
0.500 0.500 0.997
```

Space group: No. 44
Calculated formation energy in eV/atom: 0.75
Energy above the lowest structure with this stoichiometry in kcal/mol of atoms: 7.18
Theoretical density in Mg/m³: 13.05


(7)
LaMoW2: relaxed, GGA-PBE.

Cell and atoms, written as POSCAR:
```
LaMoW2
1.0
5.600 0.000 0.000
0.000 9.745 0.000
-0.874 0.000 2.725
La Mo W
2 2 4
direct
0.000 0.000 0.000
0.500 0.500 0.000
0.000 0.500 0.000
0.500 0.000 0.000
0.250 0.250 0.500
0.250 0.750 0.500
0.750 0.250 0.500
0.750 0.750 0.500
```

Space group: No. 12
Calculated formation energy in eV/atom: 0.71
Energy above the lowest structure with this stoichiometry in kcal/mol of atoms: 6.29
Theoretical density in Mg/m³: 13.45


(8)
LaMo2W: relaxed, GGA-PBE.

Cell and atoms, written as POSCAR:
```
LaMo2W
1.0
3.236 0.000 0.000
0.000 5.223 0.000
0.000 0.000 9.056
La Mo W
2 4 2
direct
0.000 0.000 0.000
0.500 0.500 0.500
0.000 0.500 0.237
0.000 0.500 0.763
0.500 0.000 0.263
0.500 0.000 0.737
0.000 0.000 0.500
0.500 0.500 0.000
```

Space group: No. 71
Calculated formation energy in eV/atom: 0.68
Energy above the lowest structure with this stoichiometry in kcal/mol of atoms: 6.39
Theoretical density in Mg/m³: 11.17


(9)
LaMoW: relaxed, GGA-PBE.

Cell and atoms, written as POSCAR:
```
LaMoW
1.0
3.223 0.000 0.000
0.000 5.045 0.000
0.000 0.000 14.842
La Mo W
4 4 4
direct
0.000 0.000 0.000
0.000 0.500 0.500
0.500 0.000 0.500
0.500 0.500 0.000
0.000 0.000 0.682
0.000 0.500 0.182
0.500 0.000 0.182
0.500 0.500 0.682
0.000 0.000 0.315
0.000 0.500 0.815
0.500 0.000 0.815
0.500 0.500 0.315
```

Space group: No. 42
Calculated formation energy in eV/atom: 0.53
Energy above the lowest structure with this stoichiometry in kcal/mol of atoms: 2.43
Theoretical density in Mg/m³: 11.52


(10)
LaMo2W: relaxed, GGA-PBE.

Cell and atoms, written as POSCAR:
```
LaMo2W
1.0
3.214 0.000 0.000
0.000 3.214 0.000
0.000 0.000 7.652
La Mo W
1 2 1
direct
0.000 0.000 0.000
0.500 0.500 0.305
0.500 0.500 0.695
0.000 0.000 0.500
```

Space group: No. 123
Calculated formation energy in eV/atom: 0.40
Energy above the lowest structure with this stoichiometry in kcal/mol of atoms: 0.00
Theoretical density in Mg/m³: 10.81


(11)
LaMo2W: relaxed, GGA-PBE.

Cell and atoms, written as POSCAR:
```
LaMo2W
1.0
8.560 0.000 0.000
0.000 3.190 0.000
-1.011 0.000 5.859
La Mo W
2 4 2
direct
0.000 0.000 0.000
0.500 0.500 0.000
0.229 0.000 0.700
0.271 0.500 0.300
0.729 0.500 0.700
0.771 0.000 0.300
0.000 0.500 0.500
0.500 0.000 0.500
```

Space group: No. 12
Calculated formation energy in eV/atom: 0.61
Energy above the lowest structure with this stoichiometry in kcal/mol of atoms: 4.80
Theoretical density in Mg/m³: 10.68


(12)
LaMo4W: relaxed, GGA-PBE.

Cell and atoms, written as POSCAR:
```
LaMo4W
1.0
0.000 3.832 3.832
3.832 0.000 3.832
3.832 3.832 0.000
La Mo W
1 4 1
direct
0.000 0.000 0.000
0.127 0.624 0.624
0.624 0.127 0.624
0.624 0.624 0.127
0.624 0.624 0.624
0.250 0.250 0.250
```

Space group: No. 216
Calculated formation energy in eV/atom: 0.51
Theoretical density in Mg/m³: 10.42


- What is the theoretical density in the eleventh record?
  10.68 Mg/m³


- Which formula does entry 5 have?
  LaMoW2